(1)
Pm2Al2Cd | PBE | optimized geometry

Values from the calculation:
The calculation puts the total energy at -79.2 eV/cell. Its formation energy is -0.38 eV/atom. The calculation puts the density of states at the Fermi level at 15.30 states/eV/cell. The space-group type is P4/mbm (127).

Cell lengths 7.267, 7.267, 9.557 Å; angles 90.00, 90.00, 90.00 degrees
Fractional positions:
Cd 0.500 0.500 0.250
Al 0.630 0.130 0.250
Al 0.130 0.370 0.750
Al 0.130 0.370 0.250
Al 0.870 0.630 0.250
Pm 0.670 0.830 0.500
Al 0.870 0.630 0.750
Cd 0.000 0.000 0.750
Pm 0.170 0.670 0.000
Cd 0.500 0.500 0.750
Pm 0.670 0.830 0.000
Al 0.370 0.870 0.250
Pm 0.830 0.330 0.500
Al 0.370 0.870 0.750
Cd 0.000 0.000 0.250
Pm 0.830 0.330 0.000
Al 0.630 0.130 0.750
Pm 0.330 0.170 0.500
Pm 0.170 0.670 0.500
Pm 0.330 0.170 0.000

***

(2)
Pm5Al2Cd | PBE | optimized geometry

Values from the calculation:
The calculation puts the total energy at -68.1 eV/cell. Its formation energy is -0.24 eV/atom. The calculation puts the density of states at the Fermi level at 15.87 states/eV/cell. The space-group type is I4/mcm (140).

Cell lengths 7.862, 7.862, 9.474 Å; angles 114.51, 114.51, 90.00 degrees
Fractional positions:
Pm 0.000 0.000 0.000
Pm 0.525 0.682 0.707
Pm 0.318 0.818 0.293
Al 0.382 0.882 0.000
Pm 0.500 0.500 0.000
Pm 0.975 0.475 0.293
Al 0.618 0.118 0.000
Al 0.882 0.618 0.000
Pm 0.818 0.975 0.293
Pm 0.682 0.182 0.707
Cd 0.250 0.250 0.500
Pm 0.025 0.525 0.707
Pm 0.475 0.318 0.293
Pm 0.182 0.025 0.707
Cd 0.750 0.750 0.500
Al 0.118 0.382 0.000

***

(3)
Pm8AlCd2 | PBE | optimized geometry

Values from the calculation:
The relative energy among the computed polymorphs is 0.0321 eV per atom. The calculation puts the total energy at -45.0 eV/cell. Its formation energy is -0.13 eV/atom. The calculation puts the density of states at the Fermi level at 12.10 states/eV/cell. The space-group type is C2/m (12).

Cell lengths 5.340, 7.284, 9.573 Å; angles 107.51, 106.20, 90.00 degrees
Fractional positions:
Pm 0.409 0.545 0.818
Pm 0.194 0.292 0.389
Pm 0.336 0.038 0.672
Pm 0.020 0.770 0.039
Pm 0.591 0.455 0.182
Pm 0.806 0.708 0.611
Pm 0.664 0.962 0.328
Cd 0.182 0.706 0.364
Al 0.500 0.000 0.000
Cd 0.818 0.294 0.636
Pm 0.980 0.230 0.961

***

(4)
Pm9Al2Cd | PBE | optimized geometry

Values from the calculation:
The calculation puts the total energy at -52.9 eV/cell. Its formation energy is -0.15 eV/atom. The calculation puts the density of states at the Fermi level at 19.49 states/eV/cell. The space-group type is P4/mmm (123).

Cell lengths 4.894, 4.894, 14.665 Å; angles 90.00, 90.00, 90.00 degrees
Fractional positions:
Pm 0.000 0.500 0.500
Pm 0.500 0.000 0.828
Al 0.000 0.000 0.334
Pm 0.500 0.500 0.334
Pm 0.000 0.500 0.172
Pm 0.000 0.500 0.828
Al 0.000 0.000 0.666
Pm 0.500 0.500 0.000
Pm 0.500 0.500 0.666
Pm 0.500 0.000 0.172
Pm 0.500 0.000 0.500
Cd 0.000 0.000 0.000

***

(5)
PmAl2Cd | PBE | optimized geometry

Values from the calculation:
The relative energy among the computed polymorphs is 0.0000 eV per atom. The calculation puts the total energy at -14.4 eV/cell. Its formation energy is -0.32 eV/atom. The calculation puts the density of states at the Fermi level at 2.15 states/eV/cell. The space-group type is P4/mmm (123).

Cell lengths 4.388, 4.489, 4.489 Å; angles 90.00, 90.00, 90.00 degrees
Fractional positions:
Al 0.000 0.500 0.000
Al 0.000 0.000 0.500
Cd 0.500 0.500 0.500
Pm 0.500 0.000 0.000

***

(6)
Pm6Al5Cd | PBE | optimized geometry

Values from the calculation:
The calculation puts the total energy at -52.4 eV/cell. Its formation energy is -0.36 eV/atom. The calculation puts the density of states at the Fermi level at 5.94 states/eV/cell. The space-group type is Cmmm (65).

Cell lengths 5.280, 7.426, 8.343 Å; angles 90.00, 71.55, 90.00 degrees
Fractional positions:
Al 0.666 0.500 0.668
Al 0.664 0.000 0.673
Pm 0.500 0.253 0.000
Pm 0.831 0.251 0.337
Pm 0.169 0.251 0.663
Cd 0.000 0.000 0.000
Pm 0.831 0.749 0.337
Al 0.000 0.500 0.000
Pm 0.500 0.747 0.000
Al 0.334 0.500 0.332
Pm 0.169 0.749 0.663
Al 0.336 0.000 0.327

***

(7)
PmAlCd | PBE | optimized geometry

Values from the calculation:
The relative energy among the computed polymorphs is 0.0592 eV per atom. The calculation puts the total energy at -20.8 eV/cell. Its formation energy is -0.34 eV/atom. The calculation puts the density of states at the Fermi level at 5.24 states/eV/cell. The space-group type is C2/m (12).

Cell lengths 4.124, 4.582, 8.820 Å; angles 105.05, 103.71, 90.00 degrees
Fractional positions:
Cd 0.042 0.296 0.592
Pm 0.356 0.105 0.210
Al 0.794 0.543 0.086
Al 0.206 0.457 0.914
Pm 0.644 0.895 0.790
Cd 0.958 0.704 0.408

***

(8)
Pm8Al2Cd | PBE | optimized geometry

Values from the calculation:
The relative energy among the computed polymorphs is 0.0123 eV per atom. The calculation puts the total energy at -48.1 eV/cell. Its formation energy is -0.15 eV/atom. The calculation puts the density of states at the Fermi level at 13.30 states/eV/cell. The space-group type is C2/m (12).

Cell lengths 5.028, 7.864, 9.147 Å; angles 107.60, 105.95, 90.00 degrees
Fractional positions:
Pm 0.963 0.258 0.925
Pm 0.328 0.068 0.655
Pm 0.822 0.740 0.645
Cd 0.500 0.000 0.000
Pm 0.037 0.742 0.075
Pm 0.178 0.260 0.355
Pm 0.601 0.461 0.202
Al 0.793 0.320 0.586
Pm 0.672 0.932 0.345
Al 0.207 0.680 0.414
Pm 0.399 0.539 0.798